(1)
A geometry-optimized Li3CuRe structure. Source: Alexandria, functional GGA-PBE. Values from VASP.

Symmetry: Pm-3m (221)
Energy of formation from the pure elements in meV per atom: 1554
Magnetization in μB per atom: 0.5944
VASP energy in eV per atom: -2.903

The structure in Quantum ESPRESSO input format:
```
&SYSTEM
  ibrav = 0, nat = 5, ntyp = 3
/
ATOMIC_SPECIES
Li 6.94 Li.upf
Cu 63.55 Cu.upf
Re 186.21 Re.upf
CELL_PARAMETERS angstrom
4.874 0.000 0.000
0.000 4.874 0.000
0.000 0.000 4.874
ATOMIC_POSITIONS angstrom
Li 0.000 0.000 2.437
Li 0.000 2.437 0.000
Li 2.437 0.000 0.000
Cu 2.437 2.437 2.437
Re 0.000 0.000 0.000
```

(2)
A geometry-optimized OsRu3 structure. Source: Alexandria, functional GGA-PBE. Values from VASP.

Symmetry: C2/m (12)
Energy of formation from the pure elements in meV per atom: 109
Magnetization in μB per atom: 0.0000
VASP energy in eV per atom: -9.655

The structure in Quantum ESPRESSO input format:
```
&SYSTEM
  ibrav = 0, nat = 4, ntyp = 2
/
ATOMIC_SPECIES
Os 190.23 Os.upf
Ru 101.07 Ru.upf
CELL_PARAMETERS angstrom
4.492 -1.355 0.000
4.492 1.355 0.000
-0.810 0.000 4.615
ATOMIC_POSITIONS angstrom
Os 0.000 0.000 0.000
Ru 1.645 0.000 3.467
Ru 4.087 0.000 2.307
Ru 6.529 0.000 1.147
```

(3)
A geometry-optimized Y4Er4Sc3 structure. Source: Alexandria, functional GGA-PBE. Values from VASP.

Symmetry: P-1 (2)
Energy of formation from the pure elements in meV per atom: 104
Magnetization in μB per atom: 0.0001
VASP energy in eV per atom: -5.632

The structure in Quantum ESPRESSO input format:
```
&SYSTEM
  ibrav = 0, nat = 11, ntyp = 3
/
ATOMIC_SPECIES
Y 88.91 Y.upf
Er 167.26 Er.upf
Sc 44.96 Sc.upf
CELL_PARAMETERS angstrom
3.413 0.000 0.000
0.000 5.471 0.000
1.704 2.726 17.322
ATOMIC_POSITIONS angstrom
Y 0.852 1.360 5.576
Y 0.854 4.103 0.647
Y 4.263 4.094 16.674
Y 4.265 6.836 11.745
Er 0.851 4.096 7.092
Er 0.851 1.366 2.481
Er 4.266 6.830 14.841
Er 4.266 4.101 10.230
Sc 2.559 4.098 13.344
Sc 2.558 1.363 8.661
Sc 2.558 4.099 3.978
```

(4)
A geometry-optimized ErPd3Au3 structure. Source: Alexandria, functional GGA-PBE. Values from VASP.

Symmetry: P2/m (10)
Energy of formation from the pure elements in meV per atom: -430
Magnetization in μB per atom: 0.0000
VASP energy in eV per atom: -4.712

The structure in Quantum ESPRESSO input format:
```
&SYSTEM
  ibrav = 0, nat = 14, ntyp = 3
/
ATOMIC_SPECIES
Er 167.26 Er.upf
Pd 106.42 Pd.upf
Au 196.97 Au.upf
CELL_PARAMETERS angstrom
6.443 0.000 0.000
0.000 6.103 0.000
-0.201 0.000 6.706
ATOMIC_POSITIONS angstrom
Er 1.447 0.000 1.565
Er 4.795 0.000 5.141
Pd -0.101 1.563 3.353
Pd -0.101 4.540 3.353
Pd 3.222 1.540 0.000
Pd 3.121 1.612 3.353
Pd 3.121 4.491 3.353
Pd 3.222 4.563 0.000
Au 1.372 3.052 1.460
Au 1.307 3.052 5.197
Au 1.443 0.000 5.045
Au 4.799 0.000 1.661
Au 4.935 3.052 1.509
Au 4.870 3.052 5.246
```

(5)
A geometry-optimized MnSb2Pt2 structure. Source: Alexandria, functional GGA-PBE. Values from VASP.

Symmetry: P4/mbm (127)
Formation energy (no corrections) in eV per atom: -0.119
Magnetization in μB per atom: 0.8201
VASP energy in eV per atom: -6.018

The structure in Quantum ESPRESSO input format:
```
&SYSTEM
  ibrav = 0, nat = 10, ntyp = 3
/
ATOMIC_SPECIES
Mn 54.94 Mn.upf
Sb 121.76 Sb.upf
Pt 195.08 Pt.upf
CELL_PARAMETERS angstrom
7.126 0.000 0.000
0.000 7.126 0.000
0.000 0.000 3.919
ATOMIC_POSITIONS angstrom
Mn 0.000 0.000 0.000
Mn 3.563 3.563 0.000
Sb 1.212 2.351 1.959
Sb 2.351 5.915 1.959
Sb 4.775 1.212 1.959
Sb 5.915 4.775 1.959
Pt 0.992 4.555 0.000
Pt 2.572 0.992 0.000
Pt 4.555 6.135 0.000
Pt 6.135 2.572 0.000
```

(6)
A geometry-optimized Sb2MoRu structure. Source: Alexandria, functional GGA-PBE. Values from VASP.

Symmetry: Cm (8)
Formation energy (no corrections) in eV per atom: 0.148
Magnetization in μB per atom: 0.0000
VASP energy in eV per atom: -6.940

The structure in Quantum ESPRESSO input format:
```
&SYSTEM
  ibrav = 0, nat = 4, ntyp = 3
/
ATOMIC_SPECIES
Sb 121.76 Sb.upf
Mo 95.94 Mo.upf
Ru 101.07 Ru.upf
CELL_PARAMETERS angstrom
4.839 -1.652 0.000
4.839 1.652 0.000
-1.261 0.000 4.551
ATOMIC_POSITIONS angstrom
Sb 0.000 0.000 0.000
Sb 1.531 0.000 2.791
Mo 7.011 0.000 0.487
Ru 4.197 0.000 2.301
```